Density functional theory data (meta-GGA SCAN) for a PBEsol-optimized structure of LaZn2PbCl.

Its energy is -30.931 eV per atom. The formation energy without anion corrections is -0.152 eV per atom. The total magnetization comes out at 0.01 μB/f.u.

Unit cell a=5.007 b=5.007 c=6.380 alpha=90.00 beta=90.00 gamma=90.00
Space group P4/mmm (No. 123)
Inequivalent atoms, fractional coordinates:
La: 0.000 0.000 0.000 [1 per cell]
Zn: 0.000 0.500 0.500 [2 per cell]
Pb: 0.000 0.000 0.500 [1 per cell]
Cl: 0.500 0.500 0.000 [1 per cell]